## HgF3 (PBE-GGA)

Data for HgF3 after structural relaxation.

Unit cell a=7.941 b=7.941 c=7.941 alpha=26.04 beta=26.04 gamma=26.04
Element x y z (fractional)
F 0.085 0.085 0.085
F 0.915 0.915 0.915
F 0.500 0.500 0.500
Hg 0.000 0.000 0.000

Calculated values
symmetry	No. 166


## AlPCl2 (PBE-GGA)

Data for AlPCl2 after structural relaxation.

Unit cell a=3.726 b=3.726 c=8.506 alpha=90.00 beta=90.00 gamma=122.85
Element x y z (fractional)
P 0.000 0.000 0.535
Cl 0.500 0.500 0.337
Cl 0.000 0.000 0.912
Al 0.500 0.500 0.716

Calculated values
symmetry	No. 35


Going through the records in order, we get E above lowest polymorph values of 0.647; 0.497 eV per atom.